Record 1
DFT (PBE+U) results for a relaxed Li6CoSi2O8 crystal.

Values from the calculation:
Fermi-level density of states = 0.000 states/eV/atom
total moment = 3.0 μB/cell
total DFT energy (no corrections) = -6.16 eV per atom

a = 5.096 Å, b = 5.530 Å, c = 6.230 Å
α = 88.25°, β = 79.37°, γ = 84.46°
Space group P-1 (No. 2)
Asymmetric unit:
Li (0.116, 0.249, 0.035) (multiplicity 2)
Li (0.277, 0.363, 0.610) (multiplicity 2)
Li (0.338, 0.587, 0.190) (multiplicity 2)
Co (0.000, 0.000, 0.500) (multiplicity 1)
Si (0.373, 0.797, 0.719) (multiplicity 2)
O (0.193, 0.058, 0.773) (multiplicity 2)
O (0.265, 0.582, 0.895) (multiplicity 2)
O (0.298, 0.219, 0.296) (multiplicity 2)
O (0.307, 0.713, 0.481) (multiplicity 2)

Record 2
DFT (PBE+U) results for a relaxed Li2CoSi2O6 crystal.

Values from the calculation:
energy above the most stable polymorph in this dataset = 0.00 eV per formula unit
Fermi-level density of states = 0.000 states/eV/atom
total moment = 24.0 μB/cell
total DFT energy (no corrections) = -6.85 eV per atom

a = 7.300 Å, b = 19.465 Å, c = 7.247 Å
α = 90.00°, β = 90.00°, γ = 90.00°
Space group Fdd2 (No. 43)
Asymmetric unit:
Li (0.020, 0.167, 0.000) (multiplicity 16)
Co (0.000, 0.000, 0.002) (multiplicity 8)
Si (0.063, 0.332, 0.932) (multiplicity 16)
O (0.025, 0.243, 0.397) (multiplicity 16)
O (0.028, 0.084, 0.840) (multiplicity 16)
O (0.106, 0.112, 0.482) (multiplicity 16)

Record 3
DFT (PBE+U) results for a relaxed LiCoSiO4 crystal.

Values from the calculation:
energy above the most stable polymorph in this dataset = 0.31 eV per formula unit
total moment = 8.0 μB/cell
total DFT energy (no corrections) = -6.56 eV per atom

a = 5.039 Å, b = 5.618 Å, c = 7.860 Å
α = 90.00°, β = 129.60°, γ = 90.00°
Space group Pc (No. 7)
Asymmetric unit:
Li (0.000, 0.160, 0.000) (multiplicity 2)
Co (0.756, 0.335, 0.255) (multiplicity 2)
Si (0.256, 0.346, 0.752) (multiplicity 2)
O (0.099, 0.387, 0.230) (multiplicity 2)
O (0.371, 0.215, 0.979) (multiplicity 2)
O (0.599, 0.370, 0.770) (multiplicity 2)
O (0.968, 0.186, 0.528) (multiplicity 2)

Record 4
DFT (PBE+U) results for a relaxed LiCoSiO4 crystal.

Values from the calculation:
energy above the most stable polymorph in this dataset = 0.13 eV per formula unit
total moment = 16.1 μB/cell
total DFT energy (no corrections) = -6.59 eV per atom

a = 10.364 Å, b = 5.078 Å, c = 6.637 Å
α = 90.00°, β = 90.00°, γ = 90.00°
Space group Pna2_1 (No. 33)
Asymmetric unit:
Li (0.161, 0.192, 0.000) (multiplicity 4)
Co (0.160, 0.191, 0.498) (multiplicity 4)
Si (0.093, 0.692, 0.751) (multiplicity 4)
O (0.062, 0.241, 0.265) (multiplicity 4)
O (0.118, 0.371, 0.736) (multiplicity 4)
O (0.158, 0.829, 0.550) (multiplicity 4)
O (0.170, 0.804, 0.951) (multiplicity 4)

Record 5
DFT (PBE+U) results for a relaxed LiCoSiO4 crystal.

Values from the calculation:
energy above the most stable polymorph in this dataset = 0.33 eV per formula unit
total moment = 11.9 μB/cell
total DFT energy (no corrections) = -6.56 eV per atom

a = 5.5314 Å, b = 5.5314 Å, c = 11.1226 Å
α = 90.00°, β = 90.00°, γ = 120.00°
Space group P6_222 (No. 180)
Asymmetric unit:
Li (0.0000, 0.0000, 0.0000) (multiplicity 3)
Co (0.0000, 0.5000, 0.6667) (multiplicity 3)
Si (0.0000, 0.5000, 0.1667) (multiplicity 3)
O (0.1706, 0.3956, 0.2535) (multiplicity 12)

Record 6
DFT (PBE+U) results for a relaxed LiCoSiO4 crystal.

Values from the calculation:
energy above the most stable polymorph in this dataset = 0.16 eV per formula unit
total moment = 8.1 μB/cell
total DFT energy (no corrections) = -6.59 eV per atom

a = 5.072 Å, b = 5.205 Å, c = 8.363 Å
α = 90.00°, β = 127.24°, γ = 90.00°
Space group Pc (No. 7)
Asymmetric unit:
Li (0.000, 0.175, 0.000) (multiplicity 2)
Co (0.501, 0.178, 0.503) (multiplicity 2)
Si (0.745, 0.313, 0.250) (multiplicity 2)
O (0.086, 0.188, 0.450) (multiplicity 2)
O (0.440, 0.254, 0.264) (multiplicity 2)
O (0.661, 0.162, 0.050) (multiplicity 2)
O (0.782, 0.376, 0.734) (multiplicity 2)

Record 7
DFT (PBE+U) results for a relaxed LiCoSi2O6 crystal.

Values from the calculation:
energy above the most stable polymorph in this dataset = 0.06 eV per formula unit
total moment = 15.9 μB/cell
total DFT energy (no corrections) = -6.97 eV per atom

a = 9.731 Å, b = 8.735 Å, c = 5.345 Å
α = 90.00°, β = 110.29°, γ = 90.00°
Space group C2/c (No. 15)
Asymmetric unit:
Li (0.000, 0.244, 0.250) (multiplicity 4)
Co (0.000, 0.401, 0.750) (multiplicity 4)
Si (0.204, 0.090, 0.736) (multiplicity 8)
O (0.115, 0.414, 0.151) (multiplicity 8)
O (0.130, 0.258, 0.675) (multiplicity 8)
O (0.144, 0.004, 0.444) (multiplicity 8)

Record 8
DFT (PBE+U) results for a relaxed LiCoSiO4 crystal.

Values from the calculation:
energy above the most stable polymorph in this dataset = 0.17 eV per formula unit
total moment = 15.9 μB/cell
total DFT energy (no corrections) = -6.59 eV per atom

a = 10.522 Å, b = 5.181 Å, c = 6.560 Å
α = 90.00°, β = 90.00°, γ = 90.00°
Space group Pna2_1 (No. 33)
Asymmetric unit:
Li (0.095, 0.188, 0.000) (multiplicity 4)
Co (0.093, 0.183, 0.497) (multiplicity 4)
Si (0.154, 0.682, 0.749) (multiplicity 4)
O (0.083, 0.800, 0.952) (multiplicity 4)
O (0.095, 0.824, 0.546) (multiplicity 4)
O (0.126, 0.369, 0.734) (multiplicity 4)
O (0.192, 0.234, 0.266) (multiplicity 4)